[1]
Below is a geometry-optimized RbZn structure, with properties calculated at the PBE level.

Cell and atoms, written as CIF:
```
data_RbZn
_space_group_name_H-M_alt 'F m -3 m'
_space_group_IT_number 225
_space_group_name_Hall '-F 4 2 3'
_cell_length_a 7.3138
_cell_length_b 7.3138
_cell_length_c 7.3138
_cell_angle_alpha 90.00
_cell_angle_beta 90.00
_cell_angle_gamma 90.00
loop_
_atom_site_label
_atom_site_fract_x
_atom_site_fract_y
_atom_site_fract_z
Rb1 0.0000 0.0000 0.0000
Zn1 0.0000 0.0000 0.5000
```

VASP energy: -0.800 eV/atom


[2]
Below is a geometry-optimized Gd3Sb2As structure, with properties calculated at the PBE level.

Cell and atoms, written as CIF:
```
data_Gd3Sb2As
_space_group_name_H-M_alt 'P -3 m 1'
_space_group_IT_number 164
_space_group_name_Hall '-P 3 2"'
_cell_length_a 4.3154
_cell_length_b 4.3154
_cell_length_c 10.6745
_cell_angle_alpha 90.00
_cell_angle_beta 90.00
_cell_angle_gamma 120.00
loop_
_atom_site_label
_atom_site_fract_x
_atom_site_fract_y
_atom_site_fract_z
Gd1 0.0000 0.0000 0.0000
Gd2 0.3333 0.6667 0.3476
Sb1 0.3333 0.6667 0.8274
As1 0.0000 0.0000 0.5000
```

VASP energy: -5.751 eV/atom


[3]
Below is a geometry-optimized Hf2CuOs structure, with properties calculated at the PBE level.

Cell and atoms, written as CIF:
```
data_Hf2CuOs
_space_group_name_H-M_alt 'I 4/m m m'
_space_group_IT_number 139
_space_group_name_Hall '-I 4 2'
_cell_length_a 4.5957
_cell_length_b 4.5957
_cell_length_c 6.4914
_cell_angle_alpha 90.00
_cell_angle_beta 90.00
_cell_angle_gamma 90.00
loop_
_atom_site_label
_atom_site_fract_x
_atom_site_fract_y
_atom_site_fract_z
Hf1 0.0000 0.5000 0.2500
Cu1 0.0000 0.0000 0.0000
Os1 0.0000 0.0000 0.5000
```

Relative energy among the computed polymorphs: 0.00 eV per formula unit
Energy relative to the elements: -0.428 eV per atom
VASP energy: -9.141 eV/atom


[4]
Below is a geometry-optimized Mo2P structure, with properties calculated at the PBE level.

Cell and atoms, written as CIF:
```
data_Mo2P
_space_group_name_H-M_alt 'P 1 21/m 1'
_space_group_IT_number 11
_cell_length_a 4.7293
_cell_length_b 3.1697
_cell_length_c 6.3623
_cell_angle_alpha 90.00
_cell_angle_beta 109.57
_cell_angle_gamma 90.00
loop_
_space_group_symop_operation_xyz
'x,y,z'
'-x,-y,-z'
'-x,y+1/2,-z'
'x,-y+1/2,z'
loop_
_atom_site_label
_atom_site_fract_x
_atom_site_fract_y
_atom_site_fract_z
Mo1 0.1950 0.2500 0.4326
Mo2 0.1959 0.2500 0.9169
P1 0.3894 0.7500 0.2220
```

Relative energy among the computed polymorphs: 0.00 eV per formula unit
VASP energy: -9.476 eV/atom


[5]
Below is a geometry-optimized RbTbYTe3 structure, with properties calculated at the PBE level.

Cell and atoms, written as CIF:
```
data_RbTbYTe3
_space_group_name_H-M_alt 'C m c m'
_space_group_IT_number 63
_space_group_name_Hall '-C 2c 2'
_cell_length_a 4.7204
_cell_length_b 16.8126
_cell_length_c 11.8860
_cell_angle_alpha 90.00
_cell_angle_beta 90.00
_cell_angle_gamma 90.00
loop_
_atom_site_label
_atom_site_fract_x
_atom_site_fract_y
_atom_site_fract_z
Rb1 0.0000 0.2443 0.2500
Tb1 0.0000 0.5000 0.0000
Y1 0.0000 0.0349 0.7500
Te1 0.0000 0.1259 0.5413
Te2 0.0000 0.4301 0.7500
```

VASP energy: -4.807 eV/atom


[6]
Below is a geometry-optimized TcP4H36C12Br2 structure, with properties calculated at the PBE level.

Cell and atoms, written as CIF:
```
data_TcP4H36C12Br2
_space_group_name_H-M_alt 'I -4 2 m'
_space_group_IT_number 121
_space_group_name_Hall 'I -4 2'
_cell_length_a 9.4556
_cell_length_b 9.4556
_cell_length_c 12.0979
_cell_angle_alpha 90.00
_cell_angle_beta 90.00
_cell_angle_gamma 90.00
loop_
_atom_site_label
_atom_site_fract_x
_atom_site_fract_y
_atom_site_fract_z
Tc1 0.0000 0.0000 0.0000
P1 0.1790 0.1790 0.9690
H1 0.0518 0.3998 0.9310
H2 0.0732 0.2941 0.8106
H3 0.1040 0.2809 0.3622
H4 0.1552 0.1552 0.5586
H5 0.1809 0.3132 0.6376
C1 0.1261 0.3328 0.8854
C2 0.2336 0.2336 0.5861
Br1 0.0000 0.0000 0.2152
```

VASP energy: -5.092 eV/atom


[7]
Below is a geometry-optimized SrZrBeNi structure, with properties calculated at the PBE level.

Cell and atoms, written as CIF:
```
data_SrZrBeNi
_space_group_name_H-M_alt 'F -4 3 m'
_space_group_IT_number 216
_space_group_name_Hall 'F -4 2 3'
_cell_length_a 6.5848
_cell_length_b 6.5848
_cell_length_c 6.5848
_cell_angle_alpha 90.00
_cell_angle_beta 90.00
_cell_angle_gamma 90.00
loop_
_atom_site_label
_atom_site_fract_x
_atom_site_fract_y
_atom_site_fract_z
Sr1 0.0000 0.0000 0.0000
Zr1 0.2500 0.2500 0.2500
Be1 0.2500 0.2500 0.7500
Ni1 0.0000 0.0000 0.5000
```

Relative energy among the computed polymorphs: 0.58 eV per formula unit
VASP energy: -4.378 eV/atom


[8]
Below is a geometry-optimized Tc2GeIr structure, with properties calculated at the PBE level.

Cell and atoms, written as CIF:
```
data_Tc2GeIr
_space_group_name_H-M_alt 'F -4 3 m'
_space_group_IT_number 216
_space_group_name_Hall 'F -4 2 3'
_cell_length_a 6.1826
_cell_length_b 6.1826
_cell_length_c 6.1826
_cell_angle_alpha 90.00
_cell_angle_beta 90.00
_cell_angle_gamma 90.00
loop_
_atom_site_label
_atom_site_fract_x
_atom_site_fract_y
_atom_site_fract_z
Tc1 0.0000 0.0000 0.0000
Tc2 0.2500 0.2500 0.2500
Ge1 0.0000 0.0000 0.5000
Ir1 0.2500 0.2500 0.7500
```

VASP energy: -8.388 eV/atom


[9]
Below is a geometry-optimized Nb2MoPb structure, with properties calculated at the PBE level.

Cell and atoms, written as CIF:
```
data_Nb2MoPb
_space_group_name_H-M_alt 'F -4 3 m'
_space_group_IT_number 216
_space_group_name_Hall 'F -4 2 3'
_cell_length_a 6.6958
_cell_length_b 6.6958
_cell_length_c 6.6958
_cell_angle_alpha 90.00
_cell_angle_beta 90.00
_cell_angle_gamma 90.00
loop_
_atom_site_label
_atom_site_fract_x
_atom_site_fract_y
_atom_site_fract_z
Nb1 0.0000 0.0000 0.0000
Nb2 0.2500 0.2500 0.2500
Mo1 0.2500 0.2500 0.7500
Pb1 0.0000 0.0000 0.5000
```

VASP energy: -8.296 eV/atom


[10]
Below is a geometry-optimized CsTbNiTe3 structure, with properties calculated at the PBE level.

Cell and atoms, written as CIF:
```
data_CsTbNiTe3
_space_group_name_H-M_alt 'P n m a'
_space_group_IT_number 62
_cell_length_a 11.5126
_cell_length_b 4.3912
_cell_length_c 16.0375
_cell_angle_alpha 90.00
_cell_angle_beta 90.00
_cell_angle_gamma 90.00
loop_
_space_group_symop_operation_xyz
'x,y,z'
'-x,-y,-z'
'-x+1/2,-y,z+1/2'
'x+1/2,y,-z+1/2'
'x+1/2,-y+1/2,-z+1/2'
'-x+1/2,y+1/2,z+1/2'
'-x,y+1/2,-z'
'x,-y+1/2,z'
loop_
_atom_site_label
_atom_site_fract_x
_atom_site_fract_y
_atom_site_fract_z
Cs1 0.0328 0.2500 0.1595
Tb1 0.1425 0.7500 0.4395
Ni1 0.1476 0.2500 0.6276
Te1 0.0368 0.7500 0.6174
Te2 0.2042 0.7500 0.0080
Te3 0.2357 0.2500 0.7712
```

Relative energy among the computed polymorphs: 0.45 eV per formula unit
VASP energy: -4.246 eV/atom


[11]
Below is a geometry-optimized ScZnGe structure, with properties calculated at the PBE level.

Cell and atoms, written as CIF:
```
data_ScZnGe
_space_group_name_H-M_alt 'F -4 3 m'
_space_group_IT_number 216
_space_group_name_Hall 'F -4 2 3'
_cell_length_a 6.3463
_cell_length_b 6.3463
_cell_length_c 6.3463
_cell_angle_alpha 90.00
_cell_angle_beta 90.00
_cell_angle_gamma 90.00
loop_
_atom_site_label
_atom_site_fract_x
_atom_site_fract_y
_atom_site_fract_z
Sc1 0.0000 0.0000 0.0000
Zn1 0.2500 0.2500 0.2500
Ge1 0.2500 0.2500 0.7500
```

VASP energy: -4.196 eV/atom


[12]
Below is a geometry-optimized RbLiNpSe3 structure, with properties calculated at the PBE level.

Cell and atoms, written as CIF:
```
data_RbLiNpSe3
_space_group_name_H-M_alt 'C m c m'
_space_group_IT_number 63
_space_group_name_Hall '-C 2c 2'
_cell_length_a 4.2518
_cell_length_b 14.9380
_cell_length_c 10.9043
_cell_angle_alpha 90.00
_cell_angle_beta 90.00
_cell_angle_gamma 90.00
loop_
_atom_site_label
_atom_site_fract_x
_atom_site_fract_y
_atom_site_fract_z
Rb1 0.0000 0.2388 0.2500
Li1 0.0000 0.0389 0.7500
Np1 0.0000 0.5000 0.0000
Se1 0.0000 0.1214 0.5475
Se2 0.0000 0.4468 0.7500
```

VASP energy: -5.614 eV/atom